Record 1
Here is an optimized crystal structure of CaFeOs3 from Alexandria. Energies are from PBE-GGA.

Values from the calculation:
For the energy of formation from the pure elements, the calculation gives 1.235 eV per atom.

Cell lengths 4.5067, 4.5067, 4.5067 Å; angles 90.00, 90.00, 90.00 degrees
Closest atoms and distances in Å follow each position.
Atoms (fractional coordinates):
Ca1 0.0000 0.0000 0.0000  12 Os 3.19
Fe1 0.5000 0.5000 0.5000  6 Os 2.25
Os1 0.0000 0.5000 0.5000  2 Fe 2.25
Os2 0.5000 0.0000 0.5000  2 Fe 2.25
Os3 0.5000 0.5000 0.0000  2 Fe 2.25

---

Record 2
Here is an optimized crystal structure of Sm10DyTm6 from Alexandria. Energies are from PBE-GGA.

Values from the calculation:
For the energy of formation from the pure elements, the calculation gives 0.130 eV per atom.

Cell lengths 9.7207, 9.7207, 6.8294 Å; angles 90.00, 90.00, 120.00 degrees
Closest atoms and distances in Å follow each position.
Atoms (fractional coordinates):
Sm1 0.0000 0.2761 0.3170  5 Tm 3.36-3.58, 1 Dy 3.45, 2 Sm 3.67
Sm2 0.0000 0.7239 0.6830  5 Tm 3.36-3.58, 1 Dy 3.45, 2 Sm 3.67
Sm3 0.2761 0.0000 0.3170  5 Tm 3.36-3.58, 1 Dy 3.45, 2 Sm 3.67
Sm4 0.2761 0.2761 0.6830  5 Tm 3.36-3.58, 1 Dy 3.45, 2 Sm 3.67
Sm5 0.3333 0.6667 0.0000  6 Tm 3.34, 2 Sm 3.41
Sm6 0.3333 0.6667 0.5000  8 Sm 3.41-3.76, 6 Tm 3.74
Sm7 0.6667 0.3333 0.0000  6 Tm 3.34, 2 Sm 3.41
Sm8 0.6667 0.3333 0.5000  8 Sm 3.41-3.76, 6 Tm 3.74
Sm9 0.7239 0.0000 0.6830  5 Tm 3.36-3.58, 1 Dy 3.45, 2 Sm 3.67
Sm10 0.7239 0.7239 0.3170  5 Tm 3.36-3.58, 1 Dy 3.45, 2 Sm 3.67
Dy1 0.0000 0.0000 0.0000  6 Sm 3.45, 6 Tm 3.83
Tm1 0.0000 0.3706 0.8107  7 Sm 3.34-3.58, 1 Tm 3.61
Tm2 0.0000 0.6294 0.1893  7 Sm 3.34-3.58, 1 Tm 3.61
Tm3 0.3706 0.0000 0.8107  7 Sm 3.34-3.58, 1 Tm 3.61
Tm4 0.3706 0.3706 0.1893  7 Sm 3.34-3.58, 1 Tm 3.61
Tm5 0.6294 0.0000 0.1893  7 Sm 3.34-3.58, 1 Tm 3.61
Tm6 0.6294 0.6294 0.8107  7 Sm 3.34-3.58, 1 Tm 3.61

---

Record 3
Here is an optimized crystal structure of Ba2MgAu2 from Alexandria. Energies are from PBE-GGA.

Values from the calculation:
For the energy of formation from the pure elements, the calculation gives -0.571 eV per atom. The value obtained for the energy above the most stable polymorph in this dataset is 0.022 eV per atom.

Cell lengths 8.4184, 8.4184, 4.6023 Å; angles 90.00, 90.00, 90.00 degrees
Closest atoms and distances in Å follow each position.
Atoms (fractional coordinates):
Ba1 0.1720 0.3280 0.0000  6 Au 3.30-3.44
Ba2 0.3280 0.8280 0.0000  6 Au 3.30-3.44
Ba3 0.6720 0.1720 0.0000  6 Au 3.30-3.44
Ba4 0.8280 0.6720 0.0000  6 Au 3.30-3.44
Mg1 0.0000 0.0000 0.5000  4 Au 3.30
Mg2 0.5000 0.5000 0.5000  4 Au 3.30
Au1 0.1295 0.6295 0.5000  1 Au 3.08, 6 Ba 3.30-3.44, 2 Mg 3.30
Au2 0.3705 0.1295 0.5000  1 Au 3.08, 6 Ba 3.30-3.44, 2 Mg 3.30
Au3 0.6295 0.8705 0.5000  1 Au 3.08, 6 Ba 3.30-3.44, 2 Mg 3.30
Au4 0.8705 0.3705 0.5000  1 Au 3.08, 6 Ba 3.30-3.44, 2 Mg 3.30

---

Record 4
Here is an optimized crystal structure of PmCoCuPb from Alexandria. Energies are from PBE-GGA.

Values from the calculation:
For the energy of formation from the pure elements, the calculation gives -0.007 eV per atom.

Cell lengths 4.7929, 4.7929, 4.7929 Å; angles 60.00, 60.00, 60.00 degrees
Closest atoms and distances in Å follow each position.
Atoms (fractional coordinates):
Pm1 0.0000 0.0000 0.0000  4 Co 2.94, 4 Cu 2.94
Co1 0.2500 0.2500 0.2500  4 Pb 2.94, 4 Pm 2.94
Cu1 0.7500 0.7500 0.7500  4 Pb 2.94, 4 Pm 2.94
Pb1 0.5000 0.5000 0.5000  4 Co 2.94, 4 Cu 2.94

---

Copy entry 1 word for word.
Here is an optimized crystal structure of CaFeOs3 from Alexandria. Energies are from PBE-GGA.

Values from the calculation:
For the energy of formation from the pure elements, the calculation gives 1.235 eV per atom.

Cell lengths 4.5067, 4.5067, 4.5067 Å; angles 90.00, 90.00, 90.00 degrees
Closest atoms and distances in Å follow each position.
Atoms (fractional coordinates):
Ca1 0.0000 0.0000 0.0000  12 Os 3.19
Fe1 0.5000 0.5000 0.5000  6 Os 2.25
Os1 0.0000 0.5000 0.5000  2 Fe 2.25
Os2 0.5000 0.0000 0.5000  2 Fe 2.25
Os3 0.5000 0.5000 0.0000  2 Fe 2.25

---

- energy of formation from the pure elements of number 1 (CaFeOs3)?
  1.235 eV per atom

---

- What is the energy of formation from the pure elements in the second record?
  0.130 eV per atom

---

- Look up the energy of formation from the pure elements of the fourth one.
  -0.007 eV per atom